(1)
Density functional theory data (PBE-GGA) for Pm6NdHo5 after structural relaxation.

Results
As for the space group: No. 65. As for the uncorrected energy: -4.663 eV per atom.

Cell lengths 5.0962, 8.0638, 10.1348 Å; angles 90.00, 90.00, 71.58 degrees
Closest atoms and distances in Å follow each position.
Positions (direct):
Nd: 0.0000 0.0000 0.0000  8 Pm 3.61, 4 Ho 3.62
Ho: 0.3335 0.3330 0.5000  8 Pm 3.58, 4 Ho 3.60-3.61
Ho: 0.6679 0.6642 0.0000  2 Ho 3.58, 8 Pm 3.59-3.62, 2 Nd 3.62
Ho: 0.0000 0.0000 0.5000  8 Pm 3.58-3.59, 4 Ho 3.60
Ho: 0.3321 0.3358 0.0000  2 Ho 3.58, 8 Pm 3.59-3.62, 2 Nd 3.62
Ho: 0.6665 0.6670 0.5000  8 Pm 3.58, 4 Ho 3.60-3.61
Pm: 0.1669 0.6661 0.2514  7 Ho 3.58-3.60, 4 Pm 3.60-3.61, 1 Nd 3.61
Pm: 0.1670 0.6661 0.7486  7 Ho 3.58-3.60, 4 Pm 3.60-3.61, 1 Nd 3.61
Pm: 0.5000 0.0000 0.7479  6 Ho 3.58-3.62, 4 Pm 3.61, 2 Nd 3.61
Pm: 0.5000 0.0000 0.2521  6 Ho 3.58-3.62, 4 Pm 3.61, 2 Nd 3.61
Pm: 0.8330 0.3339 0.2514  7 Ho 3.58-3.60, 4 Pm 3.60-3.61, 1 Nd 3.61
Pm: 0.8331 0.3339 0.7486  7 Ho 3.58-3.60, 4 Pm 3.60-3.61, 1 Nd 3.61



(2)
Density functional theory data (PBE-GGA) for PmNd3Ho8 after structural relaxation.

Results
As for the space group: No. 121. As for the uncorrected energy: -4.013 eV per atom.

Cell lengths 8.3763, 8.3763, 8.3763 Å; angles 94.86, 117.23, 117.23 degrees
Closest atoms and distances in Å follow each position.
Positions (direct):
Pm: 0.0000 0.0000 0.0000  8 Ho 3.06-3.21
Nd: 0.5000 0.7500 0.2500  4 Ho 3.45
Nd: 0.5000 0.2500 0.7500  4 Ho 3.45
Nd: 0.0000 0.5000 0.5000  8 Ho 3.11-3.25
Ho: 0.4959 0.2437 0.2437  1 Pm 3.06, 1 Nd 3.11, 2 Ho 3.21-3.24
Ho: 0.5041 0.7478 0.7478  1 Pm 3.06, 1 Nd 3.11, 2 Ho 3.21-3.24
Ho: 0.0000 0.7563 0.2522  1 Pm 3.06, 1 Nd 3.11, 2 Ho 3.21-3.24
Ho: 0.0000 0.2522 0.7563  1 Pm 3.06, 1 Nd 3.11, 2 Ho 3.21-3.24
Ho: 0.2511 0.3738 0.3738  3 Ho 3.10-3.24, 1 Pm 3.21, 3 Nd 3.25-3.45
Ho: 0.7489 0.1227 0.1227  3 Ho 3.10-3.24, 1 Pm 3.21, 3 Nd 3.25-3.45
Ho: 0.0000 0.6262 0.8773  3 Ho 3.10-3.24, 1 Pm 3.21, 3 Nd 3.25-3.45
Ho: 0.0000 0.8773 0.6262  3 Ho 3.10-3.24, 1 Pm 3.21, 3 Nd 3.25-3.45



(3)
Density functional theory data (PBE-GGA) for Pm3Nd2Ho5 after structural relaxation.

Results
As for the space group: No. 72. The distance to the lowest polymorph of the same formula is 207.1 meV per atom. As for the uncorrected energy: -4.278 eV per atom.

Cell lengths 6.8481, 12.3981, 12.3981 Å; angles 44.82, 73.97, 73.97 degrees
Closest atoms and distances in Å follow each position.
Positions (direct):
Pm: 0.2500 0.0000 0.0000  4 Nd 3.39, 2 Pm 3.42
Pm: 0.7500 0.0000 0.0000  4 Nd 3.39, 2 Pm 3.42
Pm: 0.3689 0.3833 0.8789  1 Ho 3.17, 1 Nd 3.35
Pm: 0.6311 0.6167 0.1211  1 Ho 3.17, 1 Nd 3.35
Pm: 0.8689 0.8789 0.3833  1 Ho 3.17, 1 Nd 3.35
Pm: 0.1311 0.1211 0.6167  1 Ho 3.17, 1 Nd 3.35
Nd: 0.1262 0.7716 0.9761  1 Ho 2.94
Nd: 0.8738 0.2284 0.0239  1 Ho 2.94
Nd: 0.6262 0.9761 0.7716  1 Ho 2.94
Nd: 0.3738 0.0239 0.2284  1 Ho 2.94
Ho: 0.2500 0.5000 0.5000  6 Ho 3.33-3.42
Ho: 0.7500 0.5000 0.5000  6 Ho 3.33-3.42
Ho: 0.5015 0.7485 0.7485  4 Ho 3.31-3.42, 2 Nd 3.37
Ho: 0.9985 0.2515 0.2515  4 Ho 3.31-3.42, 2 Nd 3.37
Ho: 0.4985 0.2515 0.2515  4 Ho 3.31-3.42, 2 Nd 3.37
Ho: 0.0015 0.7485 0.7485  4 Ho 3.31-3.42, 2 Nd 3.37
Ho: 0.1249 0.4621 0.2881  1 Nd 2.94, 1 Pm 3.17
Ho: 0.8751 0.5379 0.7119  1 Nd 2.94, 1 Pm 3.17
Ho: 0.6249 0.2881 0.4621  1 Nd 2.94, 1 Pm 3.17
Ho: 0.3751 0.7119 0.5379  1 Nd 2.94, 1 Pm 3.17



(4)
Density functional theory data (PBE-GGA) for Pm2Nd3Ho7 after structural relaxation.

Results
As for the space group: No. 10. The distance to the lowest polymorph of the same formula is 0.0 meV per atom. As for the uncorrected energy: -4.569 eV per atom.

Cell lengths 3.5866, 5.8466, 18.8814 Å; angles 93.17, 90.00, 90.00 degrees
Closest atoms and distances in Å follow each position.
Positions (direct):
Pm: 0.5000 0.7097 0.2921  3 Ho 3.20-3.34
Pm: 0.5000 0.2903 0.7079  3 Ho 3.20-3.34
Nd: 0.5000 0.5000 0.0000  8 Ho 3.37-3.43, 2 Nd 3.59
Nd: 0.0000 0.2222 0.3682  2 Nd 3.59, 6 Ho 3.67-3.87, 4 Pm 3.71-3.72
Nd: 0.0000 0.7778 0.6318  2 Nd 3.59, 6 Ho 3.67-3.87, 4 Pm 3.71-3.72
Ho: 0.5000 0.7424 0.4618  1 Pm 3.20, 2 Ho 3.25-3.27
Ho: 0.5000 0.2576 0.5382  1 Pm 3.20, 2 Ho 3.25-3.27
Ho: 0.0000 0.6897 0.1425  7 Ho 3.33-3.59, 2 Pm 3.34, 2 Nd 3.37
Ho: 0.0000 0.0000 0.0000  4 Ho 3.33-3.59, 4 Nd 3.43
Ho: 0.0000 0.3103 0.8575  7 Ho 3.33-3.59, 2 Pm 3.34, 2 Nd 3.37
Ho: 0.5000 0.8083 0.8276  8 Ho 3.46-3.83, 2 Pm 3.68-3.71, 1 Nd 3.81
Ho: 0.5000 0.1917 0.1724  8 Ho 3.46-3.83, 2 Pm 3.68-3.71, 1 Nd 3.81



(5)
Density functional theory data (PBE-GGA) for Pm4Nd3Ho4 after structural relaxation.

Results
As for the space group: No. 71. The distance to the lowest polymorph of the same formula is 0.0 meV per atom. As for the uncorrected energy: -4.562 eV per atom.

Cell lengths 3.6159, 9.4613, 12.1722 Å; angles 112.87, 98.54, 90.00 degrees
Closest atoms and distances in Å follow each position.
Positions (direct):
Pm: 0.6459 0.4678 0.2918  3 Pm 3.37-3.62, 4 Ho 3.49-3.71, 2 Nd 3.64
Pm: 0.3541 0.1760 0.7082  3 Pm 3.37-3.62, 4 Ho 3.49-3.71, 2 Nd 3.64
Pm: 0.3541 0.5322 0.7082  3 Pm 3.37-3.62, 4 Ho 3.49-3.71, 2 Nd 3.64
Pm: 0.6459 0.8240 0.2918  3 Pm 3.37-3.62, 4 Ho 3.49-3.71, 2 Nd 3.64
Nd: 0.8913 0.8913 0.7826  6 Ho 3.45-3.47, 2 Nd 3.62, 4 Pm 3.64
Nd: 0.1087 0.1087 0.2174  6 Ho 3.45-3.47, 2 Nd 3.62, 4 Pm 3.64
Nd: 0.0000 0.5000 0.0000  4 Ho 3.51, 2 Nd 3.62
Ho: 0.7414 0.2414 0.4829  2 Nd 3.45, 6 Pm 3.51-3.71, 2 Ho 3.62
Ho: 0.2586 0.7586 0.5171  2 Nd 3.45, 6 Pm 3.51-3.71, 2 Ho 3.62
Ho: 0.5000 0.8180 0.0000  3 Ho 3.44-3.62, 6 Nd 3.47-3.51, 2 Pm 3.49
Ho: 0.5000 0.1820 0.0000  3 Ho 3.44-3.62, 6 Nd 3.47-3.51, 2 Pm 3.49



(6)
Density functional theory data (PBE-GGA) for PmPr4Nd2Ho2 after structural relaxation.

Results
As for the space group: No. 12. As for the uncorrected energy: -4.711 eV per atom.

Cell lengths 5.1831, 8.1929, 8.1577 Å; angles 107.56, 90.00, 108.44 degrees
Closest atoms and distances in Å follow each position.
Positions (direct):
Pm: 0.0000 0.0000 0.0000  6 Pr 3.64, 2 Nd 3.64, 4 Ho 3.68
Pr: 0.7778 0.5556 0.6704  3 Ho 3.61-3.64, 1 Pm 3.64, 3 Nd 3.66-3.70, 5 Pr 3.68-3.70
Pr: 0.2222 0.4444 0.3296  3 Ho 3.61-3.64, 1 Pm 3.64, 3 Nd 3.66-3.70, 5 Pr 3.68-3.70
Pr: 0.5547 0.1094 0.3304  2 Pm 3.64, 2 Ho 3.64-3.66, 4 Nd 3.66-3.69, 4 Pr 3.68-3.69
Pr: 0.4453 0.8906 0.6696  2 Pm 3.64, 2 Ho 3.64-3.66, 4 Nd 3.66-3.69, 4 Pr 3.68-3.69
Nd: 0.8882 0.7764 0.3305  3 Ho 3.63-3.64, 1 Pm 3.64, 7 Pr 3.66-3.70, 1 Nd 3.69
Nd: 0.1118 0.2236 0.6695  3 Ho 3.63-3.64, 1 Pm 3.64, 7 Pr 3.66-3.70, 1 Nd 3.69
Ho: 0.3323 0.6646 0.0005  5 Pr 3.61-3.66, 3 Nd 3.63-3.64, 2 Ho 3.64, 2 Pm 3.68
Ho: 0.6677 0.3354 0.9995  5 Pr 3.61-3.66, 3 Nd 3.63-3.64, 2 Ho 3.64, 2 Pm 3.68



(7)
Density functional theory data (PBE-GGA) for PmPr3Nd6Ho2 after structural relaxation.

Results
As for the space group: No. 12. As for the uncorrected energy: -4.722 eV per atom.

Cell lengths 6.3502, 6.3502, 12.1284 Å; angles 95.02, 95.02, 120.01 degrees
Closest atoms and distances in Å follow each position.
Positions (direct):
Pm: 0.0000 0.0000 0.0000  6 Nd 3.62, 6 Ho 3.67
Pr: 0.1668 0.8332 0.5000  6 Pr 3.66-3.67, 6 Nd 3.70-3.71
Pr: 0.8332 0.1668 0.5000  6 Pr 3.66-3.67, 6 Nd 3.70-3.71
Pr: 0.5000 0.5000 0.5000  6 Pr 3.66-3.67, 6 Nd 3.70
Nd: 0.9175 0.5834 0.7542  2 Ho 3.62, 1 Pm 3.62, 6 Nd 3.66-3.67, 3 Pr 3.70-3.71
Nd: 0.7485 0.7485 0.2458  2 Ho 3.62, 1 Pm 3.62, 6 Nd 3.66-3.67, 3 Pr 3.70
Nd: 0.0825 0.4166 0.2458  2 Ho 3.62, 1 Pm 3.62, 6 Nd 3.66-3.67, 3 Pr 3.70-3.71
Nd: 0.5834 0.9175 0.7542  2 Ho 3.62, 1 Pm 3.62, 6 Nd 3.66-3.67, 3 Pr 3.70-3.71
Nd: 0.2515 0.2515 0.7542  2 Ho 3.62, 1 Pm 3.62, 6 Nd 3.66-3.67, 3 Pr 3.70
Nd: 0.4166 0.0825 0.2458  2 Ho 3.62, 1 Pm 3.62, 6 Nd 3.66-3.67, 3 Pr 3.70-3.71
Ho: 0.3334 0.6666 0.0000  6 Nd 3.62, 3 Ho 3.66-3.67, 3 Pm 3.67
Ho: 0.6666 0.3334 0.0000  6 Nd 3.62, 3 Ho 3.66-3.67, 3 Pm 3.67



(8)
Density functional theory data (PBE-GGA) for PmPr6Nd2Ho3 after structural relaxation.

Results
As for the space group: No. 12. As for the uncorrected energy: -4.711 eV per atom.

Cell lengths 6.3532, 6.3532, 12.0321 Å; angles 95.04, 95.04, 120.02 degrees
Closest atoms and distances in Å follow each position.
Positions (direct):
Pm: 0.0000 0.0000 0.0000  6 Nd 3.67, 6 Pr 3.68
Pr: 0.9152 0.5821 0.7458  3 Ho 3.60, 6 Pr 3.67, 2 Nd 3.68, 1 Pm 3.68
Pr: 0.7516 0.7516 0.2543  3 Ho 3.60, 6 Pr 3.67, 1 Pm 3.68, 2 Nd 3.68
Pr: 0.0848 0.4179 0.2542  3 Ho 3.60, 6 Pr 3.67, 2 Nd 3.68, 1 Pm 3.68
Pr: 0.5821 0.9152 0.7458  3 Ho 3.60, 6 Pr 3.67, 2 Nd 3.68, 1 Pm 3.68
Pr: 0.2484 0.2484 0.7457  3 Ho 3.60, 6 Pr 3.67, 1 Pm 3.68, 2 Nd 3.68
Pr: 0.4179 0.0848 0.2542  3 Ho 3.60, 6 Pr 3.67, 2 Nd 3.68, 1 Pm 3.68
Nd: 0.3333 0.6667 0.0000  3 Pm 3.67, 3 Nd 3.67, 6 Pr 3.68
Nd: 0.6667 0.3333 0.0000  3 Pm 3.67, 3 Nd 3.67, 6 Pr 3.68
Ho: 0.1667 0.8333 0.5000  6 Pr 3.60, 6 Ho 3.67
Ho: 0.8333 0.1667 0.5000  6 Pr 3.60, 6 Ho 3.67
Ho: 0.5000 0.5000 0.5000  6 Pr 3.60, 6 Ho 3.67



(9)
Density functional theory data (PBE-GGA) for Pm2Pr6Nd3Ho after structural relaxation.

Results
As for the space group: No. 12. As for the uncorrected energy: -4.742 eV per atom.

Cell lengths 6.3848, 6.3848, 12.1741 Å; angles 95.04, 95.04, 120.02 degrees
Closest atoms and distances in Å follow each position.
Positions (direct):
Pm: 0.3332 0.6668 0.0000  6 Pr 3.66, 3 Pm 3.68-3.69, 3 Ho 3.69
Pm: 0.6668 0.3332 0.0000  6 Pr 3.66, 3 Pm 3.68-3.69, 3 Ho 3.69
Pr: 0.9171 0.5849 0.7521  1 Ho 3.65, 2 Pm 3.66, 6 Pr 3.67-3.69, 3 Nd 3.69-3.70
Pr: 0.7502 0.7502 0.2482  1 Ho 3.66, 2 Pm 3.66, 6 Pr 3.68-3.69, 3 Nd 3.69-3.70
Pr: 0.0829 0.4151 0.2479  1 Ho 3.65, 2 Pm 3.66, 6 Pr 3.67-3.69, 3 Nd 3.69-3.70
Pr: 0.5849 0.9171 0.7521  1 Ho 3.65, 2 Pm 3.66, 6 Pr 3.67-3.69, 3 Nd 3.69-3.70
Pr: 0.2498 0.2498 0.7518  1 Ho 3.66, 2 Pm 3.66, 6 Pr 3.68-3.69, 3 Nd 3.69-3.70
Pr: 0.4151 0.0829 0.2479  1 Ho 3.65, 2 Pm 3.66, 6 Pr 3.67-3.69, 3 Nd 3.69-3.70
Nd: 0.1664 0.8336 0.5000  6 Nd 3.68-3.69, 6 Pr 3.69-3.70
Nd: 0.8336 0.1664 0.5000  6 Nd 3.68-3.69, 6 Pr 3.69-3.70
Nd: 0.5000 0.5000 0.5000  6 Nd 3.68-3.69, 6 Pr 3.69-3.70
Ho: 0.0000 0.0000 0.0000  6 Pr 3.65-3.66, 6 Pm 3.69



(10)
Density functional theory data (PBE-GGA) for Pm2Pr4NdHo after structural relaxation.

Results
As for the space group: No. 15. As for the uncorrected energy: -4.380 eV per atom.

Cell lengths 9.6822, 9.6822, 12.0668 Å; angles 128.38, 128.38, 88.29 degrees
Closest atoms and distances in Å follow each position.
Positions (direct):
Pm: 0.5000 0.0000 0.0000  6 Pr 3.38-3.49, 2 Nd 3.48
Pm: 0.5000 0.0000 0.5000  6 Pr 3.38-3.49, 2 Nd 3.48
Pm: 0.0000 0.0000 0.5000  6 Pr 3.37-3.67, 2 Pm 3.48
Pm: 0.5000 0.5000 0.0000  6 Pr 3.37-3.67, 2 Pm 3.48
Pr: 0.2462 0.7543 0.0007  1 Ho 3.32, 3 Pm 3.43-3.49, 2 Nd 3.47-3.50, 2 Pr 3.48-3.49
Pr: 0.7457 0.2538 0.4993  1 Ho 3.32, 3 Pm 3.43-3.49, 2 Nd 3.47-3.50, 2 Pr 3.48-3.49
Pr: 0.2543 0.7462 0.5007  1 Ho 3.32, 3 Pm 3.43-3.49, 2 Nd 3.47-3.50, 2 Pr 3.48-3.49
Pr: 0.7538 0.2457 0.9993  1 Ho 3.32, 3 Pm 3.43-3.49, 2 Nd 3.47-3.50, 2 Pr 3.48-3.49
Pr: 0.7088 0.7096 0.9568  2 Ho 3.33-3.60, 3 Pm 3.37-3.67, 1 Nd 3.39, 2 Pr 3.48
Pr: 0.7904 0.7912 0.5432  2 Ho 3.33-3.60, 3 Pm 3.37-3.67, 1 Nd 3.39, 2 Pr 3.48
Pr: 0.2096 0.2088 0.4568  2 Ho 3.33-3.60, 3 Pm 3.37-3.67, 1 Nd 3.39, 2 Pr 3.48
Pr: 0.2912 0.2904 0.0432  2 Ho 3.33-3.60, 3 Pm 3.37-3.67, 1 Nd 3.39, 2 Pr 3.48
Nd: 0.0000 0.5000 0.0000  6 Pr 3.39-3.50, 2 Pm 3.48
Nd: 0.0000 0.5000 0.5000  6 Pr 3.39-3.50, 2 Pm 3.48
Ho: 0.5000 0.5000 0.5000  6 Pr 3.32-3.60, 2 Ho 3.48
Ho: 0.0000 0.0000 0.0000  6 Pr 3.32-3.60, 2 Ho 3.48



(11)
Density functional theory data (PBE-GGA) for Pm2PrNdHo5 after structural relaxation.

Results
As for the space group: No. 140. As for the uncorrected energy: -4.409 eV per atom.

Cell lengths 8.7385, 8.7385, 9.9267 Å; angles 116.11, 116.11, 90.00 degrees
Closest atoms and distances in Å follow each position.
Positions (direct):
Pm: 0.1171 0.3829 0.0000  1 Pm 2.89, 2 Ho 3.02
Pm: 0.6171 0.1171 0.0000  1 Pm 2.89, 2 Ho 3.02
Pm: 0.3829 0.8829 0.0000  1 Pm 2.89, 2 Ho 3.02
Pm: 0.8829 0.6171 0.0000  1 Pm 2.89, 2 Ho 3.02
Pr: 0.2500 0.2500 0.5000  10 Ho 3.60-3.88
Pr: 0.7500 0.7500 0.5000  10 Ho 3.60-3.88
Nd: 0.2500 0.7500 0.5000  4 Ho 3.12
Nd: 0.7500 0.2500 0.5000  4 Ho 3.12
Ho: 0.9280 0.4280 0.2720  1 Pm 3.02, 1 Nd 3.12
Ho: 0.6560 0.1560 0.7280  1 Pm 3.02, 1 Nd 3.12
Ho: 0.0720 0.5720 0.7280  1 Pm 3.02, 1 Nd 3.12
Ho: 0.1560 0.0720 0.7280  1 Pm 3.02, 1 Nd 3.12
Ho: 0.5720 0.6560 0.7280  1 Pm 3.02, 1 Nd 3.12
Ho: 0.8440 0.9280 0.2720  1 Pm 3.02, 1 Nd 3.12
Ho: 0.4280 0.3440 0.2720  1 Pm 3.02, 1 Nd 3.12
Ho: 0.3440 0.8440 0.2720  1 Pm 3.02, 1 Nd 3.12
Ho: 0.5000 0.5000 0.0000  4 Pm 3.50, 8 Ho 3.78, 2 Pr 3.88
Ho: 0.0000 0.0000 0.0000  4 Pm 3.50, 8 Ho 3.78, 2 Pr 3.88



(12)
Density functional theory data (PBE-GGA) for PmPr6NdHo2 after structural relaxation.

Results
As for the space group: No. 15. As for the uncorrected energy: -4.624 eV per atom.

Cell lengths 9.8488, 9.0093, 9.0093 Å; angles 117.19, 94.18, 94.18 degrees
Closest atoms and distances in Å follow each position.
Positions (direct):
Pm: 0.2500 0.9704 0.0296  4 Ho 3.45-3.47, 4 Pr 3.60-3.70
Pm: 0.7500 0.0296 0.9704  4 Ho 3.45-3.47, 4 Pr 3.60-3.70
Pr: 0.0555 0.1092 0.7577  7 Pr 3.48-3.86, 2 Ho 3.54-3.89, 2 Pm 3.70-3.88
Pr: 0.4445 0.2423 0.8908  7 Pr 3.48-3.86, 2 Ho 3.54-3.89, 2 Pm 3.70-3.88
Pr: 0.9445 0.8908 0.2423  7 Pr 3.48-3.86, 2 Ho 3.54-3.89, 2 Pm 3.70-3.88
Pr: 0.5555 0.7577 0.1092  7 Pr 3.48-3.86, 2 Ho 3.54-3.89, 2 Pm 3.70-3.88
Pr: 0.3163 0.9868 0.4355  2 Pr 3.32-3.68, 1 Nd 3.52, 1 Ho 3.54, 1 Pm 3.60
Pr: 0.1837 0.5645 0.0132  2 Pr 3.32-3.68, 1 Nd 3.52, 1 Ho 3.54, 1 Pm 3.60
Pr: 0.6837 0.0132 0.5645  2 Pr 3.32-3.68, 1 Nd 3.52, 1 Ho 3.54, 1 Pm 3.60
Pr: 0.8163 0.4355 0.9868  2 Pr 3.32-3.68, 1 Nd 3.52, 1 Ho 3.54, 1 Pm 3.60
Pr: 0.1194 0.7031 0.4886  3 Pr 3.32-3.48, 3 Ho 3.36-3.53, 2 Nd 3.50-3.63
Pr: 0.3806 0.5114 0.2969  3 Pr 3.32-3.48, 3 Ho 3.36-3.53, 2 Nd 3.50-3.63
Pr: 0.8806 0.2969 0.5114  3 Pr 3.32-3.48, 3 Ho 3.36-3.53, 2 Nd 3.50-3.63
Pr: 0.6194 0.4886 0.7031  3 Pr 3.32-3.48, 3 Ho 3.36-3.53, 2 Nd 3.50-3.63
Nd: 0.2500 0.4071 0.5929  6 Pr 3.50-3.63, 2 Ho 3.61
Nd: 0.7500 0.5929 0.4071  6 Pr 3.50-3.63, 2 Ho 3.61
Ho: 0.4522 0.8028 0.7081  6 Pr 3.36-3.76, 2 Pm 3.45-3.47, 1 Nd 3.61
Ho: 0.0478 0.2919 0.1972  6 Pr 3.36-3.76, 2 Pm 3.45-3.47, 1 Nd 3.61
Ho: 0.5478 0.1972 0.2919  6 Pr 3.36-3.76, 2 Pm 3.45-3.47, 1 Nd 3.61
Ho: 0.9522 0.7081 0.8028  6 Pr 3.36-3.76, 2 Pm 3.45-3.47, 1 Nd 3.61



Calculated values (μB per atom) of total magnetic moment for the records, taken in order: 0.00; 0.00; 0.00; 0.00; 0.00; 0.00; 0.00; 0.00; 0.00; 0.00; 0.00; 0.00.
Calculated values (kcal/mol of atoms) of ΔH_f (0 K) for the records, taken in order: 0.40; 14.45; 8.98; 1.97; 3.00; 0.42; 0.36; 0.32; 0.29; 8.42; 5.78; 2.56.